A relaxed CrOsAu4 crystal. Source: the Alexandria database, functional PBE.

```
CrOsAu4
1.0
0.000 3.813 3.813
3.813 0.000 3.813
3.813 3.813 0.000
Au Os Cr
4 1 1
direct
0.375 0.875 0.375 Au
0.375 0.375 0.375 Au
0.875 0.375 0.375 Au
0.375 0.375 0.875 Au
0.000 0.000 0.000 Os
0.750 0.750 0.750 Cr
```

E_tot = -4.90 eV/atom
Volume = 110.9 Å³/cell
DFT formation energy = 440 kJ/mol of formula units

***

A relaxed Cr3OsAu crystal. Source: the Alexandria database, functional PBE.

```
Cr3OsAu
1.0
-3.237 2.804 1.319
-1.013 -2.760 3.382
2.929 2.144 2.628
Cr Au Os
3 1 1
direct
0.000 0.500 0.000 Cr
0.500 0.000 0.000 Cr
0.000 0.000 0.500 Cr
0.500 0.500 0.500 Au
0.000 0.000 0.000 Os
```

E_tot = -7.17 eV/atom
Volume = 90.0 Å³/cell
DFT formation energy = 724 kJ/mol of formula units

***

A relaxed Cr2Os2Au crystal. Source: the Alexandria database, functional PBE.

```
Cr2Os2Au
1.0
7.283 0.000 0.000
0.000 7.283 0.000
0.000 0.000 2.726
Os Cr Au
4 4 2
direct
0.154 0.654 0.500 Os
0.654 0.846 0.500 Os
0.346 0.154 0.500 Os
0.846 0.346 0.500 Os
0.865 0.635 0.000 Cr
0.135 0.365 0.000 Cr
0.365 0.865 0.000 Cr
0.635 0.135 0.000 Cr
0.000 0.000 0.000 Au
0.500 0.500 0.000 Au
```

E_tot = -8.71 eV/atom
Volume = 144.6 Å³/cell
DFT formation energy = 136 kJ/mol of formula units

***

A relaxed CrOsPd2Au crystal. Source: the Alexandria database, functional PBE.

```
CrOsPd2Au
1.0
-4.429 1.193 -1.236
-0.680 -4.563 -1.967
-1.592 -1.569 4.191
Pd Os Cr Au
2 1 1 1
direct
0.500 0.000 0.000 Pd
0.000 0.000 0.500 Pd
0.000 0.000 0.000 Os
0.500 0.500 0.500 Cr
0.000 0.500 0.000 Au
```

E_tot = -5.02 eV/atom
Volume = 113.2 Å³/cell
DFT formation energy = 909 kJ/mol of formula units